Compound: Tb2CeZn6
Source: the Alexandria database
Functional: PBE-GGA
Structure: relaxed

Structure (POSCAR):
```
Tb2CeZn6
1.0
7.851 0.000 0.000
-3.926 6.799 0.000
0.000 0.000 3.462
Tb Ce Zn
2 1 6
direct
0.333 0.667 0.000
0.667 0.333 0.000
0.000 0.000 0.000
0.000 0.336 0.500
0.000 0.664 0.500
0.336 0.000 0.500
0.336 0.336 0.500
0.664 0.000 0.500
0.664 0.664 0.500
```

Output
symmetry: P6/mmm
magnetization: 0.115 μB/atom
E_tot: -25.90 eV for the cell shown
formation enthalpy at 0 K: -340 meV/atom